1.
First-principles (PBE) data for a relaxed CaTb2HoAs4 crystal, as listed in Alexandria via LeMat-Bulk.

Cell: 7.198 4.141 7.210 Å, 90.00 109.33 90.00°
Space group P2/m (No. 10)
Asymmetric unit:
Ca 0.000 0.000 0.000
Tb 0.500 0.000 0.500
Tb 0.500 0.500 0.000
Ho 0.000 0.500 0.500
As 0.251 0.000 0.746
As 0.255 0.500 0.257

Results
The crystal system is monoclinic. The energy of formation from the pure elements is -1.37 eV/atom.

---

2.
First-principles (PBE) data for a relaxed Co2TcCl crystal, as listed in Alexandria via LeMat-Bulk.

Cell: 4.474 4.474 2.737 Å, 90.00 90.00 90.00°
Space group P4/mmm (No. 123)
Asymmetric unit:
Co 0.000 0.500 0.000
Tc 0.000 0.000 0.500
Cl 0.500 0.500 0.500

Results
The calculation puts the distance to the lowest polymorph of the same formula at 554 meV per atom. The crystal system is tetragonal. The uncorrected formation energy comes out at 81.90 kJ per mole of atoms.

---

3.
First-principles (PBE) data for a relaxed InCu2Pb crystal, as listed in Alexandria via LeMat-Bulk.

Cell: 7.430 4.256 5.864 Å, 90.00 114.34 90.00°
Space group Cm (No. 8)
Asymmetric unit:
In 0.000 0.000 0.000
Cu 0.088 0.500 0.760
Cu 0.244 0.000 0.725
Pb 0.302 0.500 0.403

Results
The crystal system is monoclinic. The energy of formation from the pure elements is 0.15 eV/atom.

---

Number 1: density 6.74 g cm⁻³, D(E_F) 3.85 states/eV/cell. Number 2: density 7.62 g cm⁻³, D(E_F) 5.45 states/eV/cell. Number 3: density 8.83 g cm⁻³, D(E_F) 2.71 states/eV/cell.